Entry 1:
First-principles (GGA-PBE) data for an optimized crystal structure of SbAsRuSe2, as listed in Alexandria via LeMat-Bulk.

a b c (Å): 4.666 4.666 5.622
angles (deg): 90.00 90.00 90.00
Element x y z (fractional)
Sb (0.000, 0.000, 0.000)
As (0.500, 0.500, 0.000)
Ru (0.000, 0.000, 0.500)
Se (0.000, 0.500, 0.500)
Se (0.500, 0.000, 0.500)

Output
E above lowest polymorph = 115 meV per atom
Formation energy (no corrections) = 0.52 eV per atom
Crystal system = tetragonal
Magnetic moment = 0.000 μB/cell

=====

Entry 2:
First-principles (GGA-PBE) data for an optimized crystal structure of BaZrRe2, as listed in Alexandria via LeMat-Bulk.

a b c (Å): 9.944 9.944 9.944
angles (deg): 150.67 150.67 41.95
Element x y z (fractional)
Ba (0.375, 0.625, 0.750)
Ba (0.625, 0.375, 0.250)
Zr (0.125, 0.875, 0.250)
Zr (0.875, 0.125, 0.750)
Re (0.000, 0.000, 0.000)
Re (0.000, 0.000, 0.500)
Re (0.000, 0.500, 0.000)
Re (0.500, 0.000, 0.500)

Output
E above lowest polymorph = 617 meV per atom
ΔE_f = 1138 meV per atom
Crystal system = tetragonal
Magnetic moment = 0.000 μB/cell

=====

Entry 3:
First-principles (GGA-PBE) data for an optimized crystal structure of SmIn2SnSe4, as listed in Alexandria via LeMat-Bulk.

a b c (Å): 7.499 4.214 7.611
angles (deg): 90.00 108.79 90.00
Element x y z (fractional)
Sm (0.000, 0.000, 0.000)
In (0.000, 0.500, 0.500)
In (0.500, 0.000, 0.500)
Sn (0.500, 0.500, 0.000)
Se (0.233, 0.500, 0.229)
Se (0.242, 0.000, 0.761)
Se (0.758, 0.000, 0.239)
Se (0.767, 0.500, 0.771)

Output
Formation energy (no corrections) = -0.82 eV per atom
Crystal system = monoclinic
Magnetic moment = 0.000 μB/cell

=====

Copy entry 2 word for word.
First-principles (GGA-PBE) data for an optimized crystal structure of BaZrRe2, as listed in Alexandria via LeMat-Bulk.

a b c (Å): 9.944 9.944 9.944
angles (deg): 150.67 150.67 41.95
Element x y z (fractional)
Ba (0.375, 0.625, 0.750)
Ba (0.625, 0.375, 0.250)
Zr (0.125, 0.875, 0.250)
Zr (0.875, 0.125, 0.750)
Re (0.000, 0.000, 0.000)
Re (0.000, 0.000, 0.500)
Re (0.000, 0.500, 0.000)
Re (0.500, 0.000, 0.500)

Output
E above lowest polymorph = 617 meV per atom
ΔE_f = 1138 meV per atom
Crystal system = tetragonal
Magnetic moment = 0.000 μB/cell

=====

What did the first record say?
First-principles (GGA-PBE) data for an optimized crystal structure of SbAsRuSe2, as listed in Alexandria via LeMat-Bulk.

a b c (Å): 4.666 4.666 5.622
angles (deg): 90.00 90.00 90.00
Element x y z (fractional)
Sb (0.000, 0.000, 0.000)
As (0.500, 0.500, 0.000)
Ru (0.000, 0.000, 0.500)
Se (0.000, 0.500, 0.500)
Se (0.500, 0.000, 0.500)

Output
E above lowest polymorph = 115 meV per atom
Formation energy (no corrections) = 0.52 eV per atom
Crystal system = tetragonal
Magnetic moment = 0.000 μB/cell